No. 1
Density functional theory data (PBE) for a relaxed structure of Ba6Pd2RhAu.

Lattice parameters (Å, degrees): 7.942 7.943 8.798 63.19 63.22 60.14
Space group P1 (No. 1)
Symmetry-distinct sites (fractional):
Ba (0.000, 0.000, 0.000)
Ba (0.145, 0.523, 0.482)
Ba (0.299, 0.327, 0.999)
Ba (0.476, 0.844, 0.482)
Ba (0.626, 0.701, 0.999)
Ba (0.824, 0.175, 0.483)
Pd (0.400, 0.101, 0.724)
Pd (0.895, 0.595, 0.241)
Rh (0.226, 0.927, 0.247)
Au (0.725, 0.425, 0.752)

Summary:
For the total magnetic moment, the calculation gives 0.00 μB per formula unit. The electronic total energy is -3.65 eV/atom. As for the energy of formation: -400 meV/atom.

No. 2
Density functional theory data (PBE) for a relaxed structure of InAgPb.

Lattice parameters (Å, degrees): 8.610 4.610 8.031 90.00 90.00 90.00
Space group Pnma (No. 62)
Symmetry-distinct sites (fractional):
In (0.014, 0.250, 0.221)
Ag (0.090, 0.250, 0.576)
Pb (0.229, 0.250, 0.918)

Summary:
For the total magnetic moment, the calculation gives 0.00 μB per formula unit. The electronic total energy is -3.00 eV/atom. As for the energy of formation: 95 meV/atom.

- What is the formula in the second record?
  InAgPb